GGA+U Nb2PWO, relaxed; spin magnetization = 0.30 μB per atom; space-group type = P4/mmm; E_tot = -6.433 eV per atom
1.0
4.601 0.000 0.000
0.000 4.607 0.000
0.000 0.000 4.601
W Nb P O
1 2 1 1
Cartesian
0.000 2.304 0.000 W
2.300 0.000 0.000 Nb
0.000 0.000 2.300 Nb
0.000 0.000 0.000 P
2.300 2.304 2.300 O